Record 1
This record from Alexandria via LeMat-Bulk describes a geometry-optimized Dy2HoErO6 structure. The functional is GGA-PBE.

```
10
Lattice="5.7881 0.0001 0.0002 2.8941 5.0126 0.0000 2.8939 1.6710 5.0415" Properties=species:S:1:pos:R:3 pbc="T T T"
Dy 5.7881 3.3417 2.1375
Dy 2.8939 1.6711 4.6636
Ho 8.6820 5.0129 2.8999
Er 2.8941 1.6708 0.3687
O 4.9167 1.4568 1.2736
O 4.5913 5.0389 1.2736
O 7.8562 3.5297 1.2736
O 6.6489 4.7957 3.7984
O 6.6165 1.8695 3.7984
O 4.0985 3.3605 3.7982
```

The volume comes out at 14.63 Å³ per atom. As for the total energy: -0.30752 Ha/atom. For the raw formation energy, the calculation gives -3.56 eV per atom.

=====

Record 2
This record from Alexandria via LeMat-Bulk describes a geometry-optimized Dy6Ho3Er2Pb structure. The functional is GGA-PBE.

```
12
Lattice="-5.0494 1.4686 3.0506 -0.2116 -0.8162 -6.0206 -0.5059 -11.3219 2.5819" Properties=species:S:1:pos:R:3 pbc="T T T"
Dy -5.1384 -7.6436 1.2003
Dy -4.0864 -2.3406 -1.5898
Dy -0.6284 -3.0260 -1.5884
Dy -3.5435 -8.3968 -1.7903
Dy -1.6805 -8.3290 1.2017
Dy -2.2233 -2.2727 1.4022
Ho -1.2747 -6.0946 -3.2106
Ho -4.4922 -4.5750 2.8225
Ho -2.8834 -5.3348 -0.1940
Er -1.8281 -0.0527 -2.9895
Er -3.4328 0.7051 0.0194
Pb 0.0000 0.0000 0.0000
```

The volume comes out at 30.51 Å³ per atom. The formation energy comes out at -0.046 eV per atom. As for the total energy: -0.16762 Ha/atom.

=====

Record 3
This record from Alexandria via LeMat-Bulk describes a geometry-optimized Dy3Ho6Er2Pb structure. The functional is GGA-PBE.

```
12
Lattice="-0.2808 5.4949 -2.5664 -3.9537 -1.5287 4.3464 8.5678 2.7343 7.3304" Properties=species:S:1:pos:R:3 pbc="T T T"
Dy 0.9444 1.0128 6.8557
Dy 3.3890 5.6876 2.2547
Dy 2.1667 3.3502 4.5552
Ho 3.8615 6.2041 5.7172
Ho -1.0486 3.6648 3.1664
Ho 0.4719 0.4964 3.3932
Ho 2.6503 3.8880 7.9967
Ho 5.3820 3.0357 5.9440
Ho 1.6831 2.8124 1.1137
Er -2.7266 0.8178 2.0368
Er -1.5079 3.1484 -0.2569
Pb 0.0000 0.0000 0.0000
```

The volume comes out at 30.37 Å³ per atom. The formation energy comes out at -0.046 eV per atom. As for the total energy: -0.16739 Ha/atom.

=====

Record 4
This record from Alexandria via LeMat-Bulk describes a geometry-optimized Pm3DyHoEr structure. The functional is GGA-PBE.

```
12
Lattice="5.0827 0.0000 0.0000 0.0000 7.9332 -1.1730 0.0000 -3.3487 10.2079" Properties=species:S:1:pos:R:3 pbc="T T T"
Pm 3.8120 6.7996 -0.5930
Pm 1.2707 -2.2151 9.6279
Pm 1.2707 3.4372 3.9456
Pm 3.8120 1.1474 5.0892
Pm 3.8120 2.2954 1.6850
Pm 1.2707 2.2891 7.3498
Dy 1.2707 4.5604 0.5507
Dy 3.8120 0.0242 8.4841
Ho 1.2707 -0.0064 2.8489
Ho 3.8120 4.5909 6.1860
Er 1.2707 -1.1126 6.2193
Er 3.8120 5.6971 2.8156
```

The volume comes out at 32.64 Å³ per atom. The formation energy comes out at 0.020 eV per atom. As for the total energy: -0.17072 Ha/atom.

=====

Record 5
This record from Alexandria via LeMat-Bulk describes a geometry-optimized Pm2DyHoEr6 structure. The functional is GGA-PBE.

```
20
Lattice="-5.6935 -6.8256 -3.6757 -0.8365 -2.7414 8.2240 -5.0182 6.6047 -2.6540" Properties=species:S:1:pos:R:3 pbc="T T T"
Pm -6.8084 -0.6883 3.0899
Pm -1.4593 0.1694 1.7705
Pm -4.7398 -2.2740 -1.1956
Pm -10.0889 -3.1317 0.1238
Dy -4.7410 1.0976 0.8508
Dy -6.8072 -4.0598 1.0435
Ho -2.3387 -4.2715 7.0998
Ho -9.2095 1.3092 -5.2055
Er -4.1688 4.1879 -1.1594
Er -7.1255 2.0576 -1.8531
Er -7.3794 -7.1502 3.0537
Er -4.4227 -5.0198 3.7474
Er -4.7330 -2.0209 5.7546
Er -1.6564 -2.6959 3.9919
Er -6.8152 -0.9413 -3.8603
Er -9.8918 -0.2663 -2.0976
Er -3.7676 0.5266 4.0654
Er -4.0514 -2.0483 1.9622
Er -7.7806 -3.4888 -2.1711
Er -7.4968 -0.9140 -0.0679
```

The volume comes out at 31.78 Å³ per atom. The formation energy comes out at 0.119 eV per atom. As for the total energy: -0.16491 Ha/atom.

=====

Record 6
This record from Alexandria via LeMat-Bulk describes a geometry-optimized PmDy2Ho2Er structure. The functional is GGA-PBE.

```
12
Lattice="3.3889 0.0000 0.0000 0.0000 6.5086 0.0000 0.0000 0.0000 17.7022" Properties=species:S:1:pos:R:3 pbc="T T T"
Pm 0.0000 0.0000 0.0000
Pm 1.6944 3.2543 8.8511
Dy 1.6944 1.7895 5.5646
Dy 0.0000 5.0439 3.2865
Dy 1.6944 4.7191 12.1376
Dy 0.0000 1.4648 14.4157
Ho 1.6944 5.0623 6.2355
Ho 1.6944 1.4463 11.4667
Ho 0.0000 4.7006 15.0866
Ho 0.0000 1.8080 2.6156
Er 1.6944 3.2543 0.0000
Er 0.0000 0.0000 8.8511
```

The volume comes out at 32.54 Å³ per atom. The formation energy comes out at 0.278 eV per atom. As for the total energy: -0.15928 Ha/atom.

=====

Record 7
This record from Alexandria via LeMat-Bulk describes a geometry-optimized Pm5DyHoEr2 structure. The functional is GGA-PBE.

```
18
Lattice="-1.5342 4.5392 2.9446 5.2263 -6.1026 6.7597 9.1160 4.8266 -2.6907" Properties=species:S:1:pos:R:3 pbc="T T T"
Pm 3.6538 -2.8581 6.3096
Pm 8.5851 4.5029 2.9023
Pm 11.0653 -0.1081 5.9319
Pm 9.0992 1.1260 3.0051
Pm 8.2771 1.0699 8.0340
Pm 5.0031 3.9234 1.9293
Pm 5.3394 -0.6486 3.7819
Pm 1.6082 3.3000 1.1214
Pm 2.9178 1.7183 4.2420
Pm 0.3231 -0.0345 0.2216
Dy 6.5710 2.4276 5.0521
Dy 1.8726 -1.4752 3.2497
Ho 8.7928 6.2119 0.3760
Ho 7.8495 -0.9186 5.5059
Er 10.0738 3.2369 5.6296
Er 7.7288 2.7111 -0.1523
Er 3.8703 0.6278 1.0488
Er 4.8744 0.4437 7.2264
```

The volume comes out at 33.69 Å³ per atom. The formation energy comes out at 0.147 eV per atom. As for the total energy: -0.16633 Ha/atom.

=====

Record 8
This record from Alexandria via LeMat-Bulk describes a geometry-optimized Pm2Dy6HoEr3 structure. The functional is GGA-PBE.

```
12
Lattice="6.1438 0.0017 0.0117 -3.0690 5.3224 0.0117 -1.0406 -1.8017 11.5736" Properties=species:S:1:pos:R:3 pbc="T T T"
Pm 0.0029 3.5482 0.0117
Pm 3.0719 1.7758 0.0117
Dy 3.0575 1.7554 8.6652
Dy 2.0497 3.5490 2.9465
Dy -1.0232 1.7669 2.9319
Dy -0.0075 3.5256 8.6652
Dy -0.0154 -0.0267 8.6505
Dy 2.0418 -0.0033 2.9319
Ho 0.0000 0.0000 0.0000
Er -2.0559 3.5359 5.7985
Er 4.0902 -0.0136 5.7985
Er 1.0171 1.7611 5.7985
```

The volume comes out at 31.56 Å³ per atom. The formation energy comes out at 0.018 eV per atom. As for the total energy: -0.16895 Ha/atom.

=====

Record 9
This record from Alexandria via LeMat-Bulk describes a geometry-optimized PmDyHoEr2 structure. The functional is GGA-PBE.

```
10
Lattice="7.1711 0.0000 0.0000 0.0000 8.3466 0.0000 0.0000 -4.1733 5.7066" Properties=species:S:1:pos:R:3 pbc="T T T"
Pm 1.7928 4.1733 2.5884
Pm 5.3783 0.0000 3.1182
Dy 5.3783 4.1733 2.5495
Dy 1.7928 0.0000 3.1570
Ho 1.7928 4.1733 5.6949
Ho 5.3783 0.0000 0.0116
Er 3.5856 2.5889 0.0000
Er 0.0000 5.7577 0.0000
Er 3.5856 5.7577 0.0000
Er 0.0000 2.5889 0.0000
```

The volume comes out at 34.16 Å³ per atom. The formation energy comes out at 0.383 eV per atom. As for the total energy: -0.15537 Ha/atom.